First-principles (meta-GGA SCAN) data for CaHfSc2B at its PBEsol-relaxed geometry, as listed in the Alexandria database.

Cell lengths 4.7271, 4.7271, 4.9786 Å; angles 90.00, 90.00, 90.00 degrees
Space group P4/mmm (No. 123)
Unique sites:
Ca 0.0000 0.0000 0.0000
Hf 0.5000 0.5000 0.0000
Sc 0.0000 0.5000 0.5000
B 0.0000 0.0000 0.5000

Computed properties:
The calculation puts the formation energy at 0.399 eV/atom. The calculation puts the total magnetization at 1.306 μB/f.u.